LaRhCl | PBE | optimized geometry

Geometry as POSCAR:
```
LaRhCl
1.0
0.000 3.264 3.264
3.264 0.000 3.264
3.264 3.264 0.000
La Rh Cl
1 1 1
direct
0.000 0.000 0.000
0.500 0.500 0.500
0.250 0.250 0.250
```

Output
symmetry: F-43m, No. 216
density: 6.6 Mg/m³
DFT total energy: -15.78 eV/cell
raw formation energy: -0.550 eV/atom

LaRhCl3 | PBE | optimized geometry

Geometry as POSCAR:
```
LaRhCl3
1.0
4.836 0.000 0.000
0.000 4.836 0.000
0.000 0.000 4.836
La Rh Cl
1 1 3
direct
0.000 0.000 0.000
0.500 0.500 0.500
0.000 0.500 0.500
0.500 0.000 0.500
0.500 0.500 0.000
```

Output
symmetry: Pm-3m, No. 221
polymorph energy (0 for the lowest one): 0 meV per atom
density: 5.1 Mg/m³
DFT total energy: -22.17 eV/cell
raw formation energy: -0.871 eV/atom

What is the formula in the second record? LaRhCl3

density of number 1 (LaRhCl)? 6.6 Mg/m³

Repeat the second record exactly.
LaRhCl3 | PBE | optimized geometry

Geometry as POSCAR:
```
LaRhCl3
1.0
4.836 0.000 0.000
0.000 4.836 0.000
0.000 0.000 4.836
La Rh Cl
1 1 3
direct
0.000 0.000 0.000
0.500 0.500 0.500
0.000 0.500 0.500
0.500 0.000 0.500
0.500 0.500 0.000
```

Output
symmetry: Pm-3m, No. 221
polymorph energy (0 for the lowest one): 0 meV per atom
density: 5.1 Mg/m³
DFT total energy: -22.17 eV/cell
raw formation energy: -0.871 eV/atom

Copy entry 2 word for word.
LaRhCl3 | PBE | optimized geometry

Geometry as POSCAR:
```
LaRhCl3
1.0
4.836 0.000 0.000
0.000 4.836 0.000
0.000 0.000 4.836
La Rh Cl
1 1 3
direct
0.000 0.000 0.000
0.500 0.500 0.500
0.000 0.500 0.500
0.500 0.000 0.500
0.500 0.500 0.000
```

Output
symmetry: Pm-3m, No. 221
polymorph energy (0 for the lowest one): 0 meV per atom
density: 5.1 Mg/m³
DFT total energy: -22.17 eV/cell
raw formation energy: -0.871 eV/atom